Record 1
Below is a relaxed structure of Pm2NiAs3Rh4, with properties calculated at the PBE level.

Output
M_tot in Bohr magnetons per cell: 0.32
DFT formation energy in meV/atom: -836.1
Space-group type: P-4m2
Crystal system: tetragonal

Cell lengths 4.2044, 4.2044, 10.1283 Å; angles 90.00, 90.00, 90.00 degrees
Fractional coordinates of all 10 atoms:
Pm1 0.0000 0.5000 0.2387
Pm2 0.5000 0.0000 0.7613
Ni1 0.5000 0.5000 0.0000
As1 0.0000 0.0000 0.0000
As2 0.0000 0.5000 0.6381
As3 0.5000 0.0000 0.3619
Rh1 0.0000 0.0000 0.5000
Rh2 0.0000 0.5000 0.8743
Rh3 0.5000 0.0000 0.1257
Rh4 0.5000 0.5000 0.5000

Record 2
Below is a relaxed structure of PmNiAs2Rh, with properties calculated at the PBE level.

Output
M_tot in Bohr magnetons per cell: 0.00
DFT formation energy in meV/atom: -802.1
Space-group type: I-4m2
Crystal system: tetragonal

Cell lengths 5.9217, 5.9217, 5.9217 Å; angles 138.90, 138.90, 59.53 degrees
Fractional coordinates of all 5 atoms:
Pm1 0.0000 0.0000 0.0000
Ni1 0.2500 0.7500 0.5000
As1 0.3734 0.3734 0.0000
As2 0.6266 0.6266 0.0000
Rh1 0.7500 0.2500 0.5000

Record 3
Below is a relaxed structure of Pm2NiAs4Ru3, with properties calculated at the PBE level.

Output
M_tot in Bohr magnetons per cell: 0.01
DFT formation energy in meV/atom: -663.5
Space-group type: P-4m2
Crystal system: tetragonal

Cell lengths 4.2697, 4.2697, 9.9164 Å; angles 90.00, 90.00, 90.00 degrees
Fractional coordinates of all 10 atoms:
Pm1 0.0000 0.5000 0.2426
Pm2 0.5000 0.0000 0.7574
Ni1 0.0000 0.0000 0.5000
As1 0.0000 0.0000 0.0000
As2 0.0000 0.5000 0.6320
As3 0.5000 0.0000 0.3680
As4 0.5000 0.5000 0.0000
Ru1 0.0000 0.5000 0.8782
Ru2 0.5000 0.0000 0.1218
Ru3 0.5000 0.5000 0.5000

Record 4
Below is a relaxed structure of PmNiAs2Ru, with properties calculated at the PBE level.

Output
M_tot in Bohr magnetons per cell: 0.00
DFT formation energy in meV/atom: -687.5
Space-group type: I-4m2
Crystal system: tetragonal

Cell lengths 6.3748, 6.3748, 6.3748 Å; angles 143.87, 143.87, 52.02 degrees
Fractional coordinates of all 5 atoms:
Pm1 0.0000 0.0000 0.0000
Ni1 0.7500 0.2500 0.5000
As1 0.3728 0.3728 0.0000
As2 0.6272 0.6272 0.0000
Ru1 0.2500 0.7500 0.5000

Record 5
Below is a relaxed structure of Pm2Ni4SbAs3, with properties calculated at the PBE level.

Output
M_tot in Bohr magnetons per cell: 0.00
Formation energy without anion corrections in eV per atom: -0.747
Space-group type: P-4m2
Crystal system: tetragonal

Cell lengths 4.2232, 4.2232, 9.8269 Å; angles 90.00, 90.00, 90.00 degrees
Fractional coordinates of all 10 atoms:
Pm1 0.0000 0.5000 0.2335
Pm2 0.5000 0.0000 0.7665
Ni1 0.0000 0.0000 0.0000
Ni2 0.0000 0.5000 0.6357
Ni3 0.5000 0.0000 0.3643
Ni4 0.5000 0.5000 0.0000
Sb1 0.0000 0.0000 0.5000
As1 0.0000 0.5000 0.8750
As2 0.5000 0.0000 0.1250
As3 0.5000 0.5000 0.5000

Record 6
Below is a relaxed structure of Pm2Ni4Sb3As, with properties calculated at the PBE level.

Output
M_tot in Bohr magnetons per cell: 0.00
Formation energy without anion corrections in eV per atom: -0.675
Space-group type: P-4m2
Crystal system: tetragonal

Cell lengths 4.4115, 4.4115, 9.8651 Å; angles 90.00, 90.00, 90.00 degrees
Fractional coordinates of all 10 atoms:
Pm1 0.0000 0.5000 0.2491
Pm2 0.5000 0.0000 0.7509
Ni1 0.0000 0.0000 0.0000
Ni2 0.0000 0.5000 0.6156
Ni3 0.5000 0.0000 0.3844
Ni4 0.5000 0.5000 0.0000
Sb1 0.0000 0.5000 0.8699
Sb2 0.5000 0.0000 0.1301
Sb3 0.5000 0.5000 0.5000
As1 0.0000 0.0000 0.5000